No. 1
First-principles (PBE-GGA) data for a geometry-optimized Sc3PdBr structure, as listed in the Alexandria database.

abc: 5.1355 5.1355 5.1355
angles: 90.00 90.00 90.00
Fractional positions:
Sc 0.0000 0.5000 0.0000
Sc 0.0000 0.0000 0.5000
Sc 0.5000 0.0000 0.0000
Br 0.5000 0.5000 0.5000
Pd 0.0000 0.0000 0.0000

Values from the calculation:
- VASP energy: -5.40 eV per atom
- Crystal system: cubic
- E above lowest polymorph: 0 meV per atom

***

No. 2
First-principles (PBE-GGA) data for a geometry-optimized ScPdBr2 structure, as listed in the Alexandria database.

abc: 6.2894 6.2894 7.1941
angles: 64.08 64.08 90.00
Site moments in Bohr magnetons follow the coordinates.
Fractional positions:
Sc 0.5000 0.5000 0.0000  0.64
Sc 0.2500 0.7500 0.5000  0.63
Br 0.6260 0.1250 0.2500  -0.01
Br 0.1240 0.6250 0.2500  -0.01
Br 0.3750 0.3740 0.7500  -0.01
Br 0.8750 0.8760 0.7500  -0.01
Pd 0.0000 0.0000 0.0000  -0.02
Pd 0.7500 0.2500 0.5000  -0.02

Values from the calculation:
- VASP energy: -4.19 eV per atom
- Crystal system: tetragonal
- E above lowest polymorph: 220 meV per atom

***

No. 3
First-principles (PBE-GGA) data for a geometry-optimized ScPdBr3 structure, as listed in the Alexandria database.

abc: 5.2612 5.2612 5.2612
angles: 90.00 90.00 90.00
Fractional positions:
Sc 0.0000 0.0000 0.0000
Br 0.0000 0.5000 0.0000
Br 0.0000 0.0000 0.5000
Br 0.5000 0.0000 0.0000
Pd 0.5000 0.5000 0.5000

Values from the calculation:
- VASP energy: -3.96 eV per atom
- Crystal system: cubic
- E above lowest polymorph: 0 meV per atom